1.
4
Lattice="2.057 1.187 9.355 -2.057 1.187 9.355 0.000 -2.375 9.355" Properties=species:S:1:pos:R:3 comment="HfSnTe2 | Alexandria via LeMat-Bulk | GGA-PBE | optimized geometry" vol_a3_per_atom=34.27 e_form_raw_mev_per_atom=274.9 spacegroup=R-3m final_energy_ev_per_cell=-19.1 pbc="T T T"
Hf 0.000 0.000 0.000
Sn 0.000 0.000 14.033
Te 0.000 0.000 2.729
Te 0.000 0.000 25.336

2.
4
Lattice="1.910 1.103 10.049 -1.910 1.103 10.049 0.000 -2.205 10.049" Properties=species:S:1:pos:R:3 comment="HfSnTe2 | Alexandria via LeMat-Bulk | GGA-PBE | optimized geometry" vol_a3_per_atom=31.74 e_form_raw_mev_per_atom=-464.0 spacegroup=R-3m final_energy_ev_per_cell=-22.1 pbc="T T T"
Hf 0.000 0.000 0.000
Sn 0.000 0.000 15.073
Te 0.000 0.000 11.887
Te 0.000 0.000 18.259

3.
8
Lattice="5.581 0.000 0.000 0.129 5.582 0.000 0.086 0.178 5.582" Properties=species:S:1:pos:R:3 comment="Hf6SnTe | Alexandria via LeMat-Bulk | GGA-PBE | optimized geometry" vol_a3_per_atom=21.74 e_form_raw_mev_per_atom=-190.8 spacegroup=P-1 final_energy_ev_per_cell=-68.4 pbc="T T T"
Hf 0.102 2.805 1.405
Hf 1.449 0.122 2.766
Hf 2.793 1.408 0.052
Hf 3.003 4.353 5.530
Hf 4.347 5.638 2.816
Hf 5.694 2.956 4.177
Sn 2.898 2.880 2.791
Te 0.000 0.000 0.000

4.
8
Lattice="-3.673 3.673 5.701 3.673 -3.673 5.701 3.673 3.673 -5.701" Properties=species:S:1:pos:R:3 comment="HfSnTe2 | Alexandria via LeMat-Bulk | GGA-PBE | optimized geometry" vol_a3_per_atom=38.45 e_form_raw_mev_per_atom=54.1 spacegroup=I-42d final_energy_ev_per_cell=-40.0 pbc="T T T"
Hf 0.000 0.000 0.000
Hf 0.000 3.673 2.850
Sn 3.673 0.000 2.850
Sn 0.000 0.000 5.701
Te 5.509 1.518 -1.425
Te 1.518 1.836 1.425
Te -1.836 2.155 4.275
Te 2.155 1.836 7.126

5.
10
Lattice="9.219 -1.743 0.000 9.219 1.743 0.000 -0.506 0.000 7.111" Properties=species:S:1:pos:R:3 comment="Hf3SnTe | Alexandria via LeMat-Bulk | GGA-PBE | optimized geometry" vol_a3_per_atom=22.85 e_form_raw_mev_per_atom=-276.2 spacegroup=C2/m de_polymorph_ev_per_atom=0.0000 final_energy_ev_per_cell=-76.8 pbc="T T T"
Hf 0.192 0.000 1.789
Hf 3.270 0.000 6.006
Hf 7.195 0.000 3.099
Hf 10.737 0.000 4.013
Hf 14.662 0.000 1.105
Hf 17.740 0.000 5.323
Sn 3.428 0.000 2.447
Sn 14.504 0.000 4.664
Te 7.550 0.000 0.147
Te 10.382 0.000 6.964

6.
10
Lattice="8.088 0.000 0.000 0.000 8.088 0.000 0.000 0.000 3.673" Properties=species:S:1:pos:R:3 comment="Hf2SnTe2 | Alexandria via LeMat-Bulk | GGA-PBE | optimized geometry" vol_a3_per_atom=24.03 e_form_raw_mev_per_atom=-426.1 spacegroup=P4/mbm final_energy_ev_per_cell=-64.6 pbc="T T T"
Hf 1.187 2.857 0.000
Hf 2.857 6.901 0.000
Hf 5.231 1.187 0.000
Hf 6.901 5.231 0.000
Sn 0.000 0.000 0.000
Sn 4.044 4.044 0.000
Te 1.162 5.206 1.837
Te 2.882 1.162 1.837
Te 5.206 6.926 1.837
Te 6.926 2.882 1.837

7.
5
Lattice="5.210 0.000 0.000 0.000 5.210 0.000 0.000 0.000 5.210" Properties=species:S:1:pos:R:3 comment="Hf3SnTe | Alexandria via LeMat-Bulk | GGA-PBE | optimized geometry" vol_a3_per_atom=28.28 e_form_raw_mev_per_atom=803.5 spacegroup=Pm-3m de_polymorph_ev_per_atom=1.0797 final_energy_ev_per_cell=-33.0 pbc="T T T"
Hf 0.000 0.000 2.605
Hf 0.000 2.605 0.000
Hf 2.605 0.000 0.000
Sn 2.605 2.605 2.605
Te 0.000 0.000 0.000

8.
6
Lattice="3.637 0.000 0.000 0.000 5.745 0.000 -1.818 0.000 7.713" Properties=species:S:1:pos:R:3 comment="HfSnTe | Alexandria via LeMat-Bulk | GGA-PBE | optimized geometry" vol_a3_per_atom=26.85 e_form_raw_mev_per_atom=-149.9 spacegroup=P2_1/m final_energy_ev_per_cell=-35.1 pbc="T T T"
Hf 0.004 1.436 2.941
Hf 1.815 4.309 4.772
Sn -0.003 4.309 2.370
Sn 1.822 1.436 5.343
Te 0.000 4.309 6.958
Te 1.819 1.436 0.755

9.
6
Lattice="-2.053 2.053 8.683 2.053 -2.053 8.683 2.053 2.053 -8.683" Properties=species:S:1:pos:R:3 comment="HfSnTe | Alexandria via LeMat-Bulk | GGA-PBE | optimized geometry" vol_a3_per_atom=24.39 e_form_raw_mev_per_atom=-440.3 spacegroup=I4/mmm final_energy_ev_per_cell=-36.8 pbc="T T T"
Hf 0.000 0.000 2.308
Hf 0.000 0.000 15.057
Sn 2.053 0.000 0.000
Sn 0.000 2.053 0.000
Te 0.000 0.000 5.358
Te 0.000 0.000 12.007

10.
14
Lattice="3.615 -6.341 0.000 3.615 6.341 0.000 -0.310 0.000 7.544" Properties=species:S:1:pos:R:3 comment="Hf5SnTe | Alexandria via LeMat-Bulk | GGA-PBE | optimized geometry" vol_a3_per_atom=24.70 e_form_raw_mev_per_atom=-82.0 spacegroup=C2/c final_energy_ev_per_cell=-115.0 pbc="T T T"
Hf 2.247 4.071 2.675
Hf 3.383 3.853 5.658
Hf 2.648 1.944 0.465
Hf 4.829 4.071 1.097
Hf 4.427 1.944 3.307
Hf 2.493 -1.944 4.236
Hf 2.092 -4.071 6.447
Hf 4.272 -1.944 7.079
Hf 3.538 -3.853 1.886
Hf 4.674 -4.071 4.868
Sn 3.383 0.542 5.658
Sn 3.538 -0.542 1.886
Te 0.000 0.000 0.000
Te -0.155 0.000 3.772

11.
11
Lattice="8.431 -1.935 0.000 8.431 1.935 0.000 -0.454 0.000 7.722" Properties=species:S:1:pos:R:3 comment="Hf8Sn2Te | Alexandria via LeMat-Bulk | GGA-PBE | optimized geometry" vol_a3_per_atom=22.91 e_form_raw_mev_per_atom=-240.2 spacegroup=C2/m final_energy_ev_per_cell=-93.4 pbc="T T T"
Hf 0.456 0.000 1.801
Hf 3.437 0.000 1.086
Hf 5.207 0.000 4.316
Hf 6.936 0.000 0.256
Hf 9.472 0.000 7.466
Hf 11.201 0.000 3.406
Hf 12.971 0.000 6.636
Hf 15.952 0.000 5.921
Sn 2.491 0.000 5.704
Sn 13.917 0.000 2.018
Te 8.204 0.000 3.861

12.
11
Lattice="3.713 -6.442 0.000 3.713 6.442 0.000 -2.323 0.000 8.121" Properties=species:S:1:pos:R:3 comment="Hf2Tl2SnTe6 | Alexandria via LeMat-Bulk | GGA-PBE | optimized geometry" vol_a3_per_atom=35.32 e_form_raw_mev_per_atom=-594.3 spacegroup=C2/m final_energy_ev_per_cell=-54.0 pbc="T T T"
Hf 3.713 4.277 0.000
Hf 3.713 -4.277 0.000
Tl 2.552 2.021 4.060
Tl 2.552 -2.021 4.060
Sn 3.713 0.000 0.000
Te 0.060 2.299 6.440
Te 1.016 0.000 1.671
Te 0.060 -2.299 6.440
Te 5.043 2.299 1.681
Te 4.088 0.000 6.450
Te 5.043 -2.299 1.681

13.
5
Lattice="5.463 0.000 0.000 0.000 5.463 0.000 0.000 0.000 5.571" Properties=species:S:1:pos:R:3 comment="HfSnTe2W | Alexandria via LeMat-Bulk | GGA-PBE | optimized geometry" vol_a3_per_atom=33.25 e_form_raw_mev_per_atom=1241.2 spacegroup=P4/mmm final_energy_ev_per_cell=-27.0 pbc="T T T"
Hf 0.000 0.000 0.000
Sn 0.000 0.000 2.785
Te 0.000 2.732 0.000
Te 2.732 0.000 0.000
W 2.732 2.732 2.785

14.
12
Lattice="8.916 -2.161 0.000 8.916 2.161 0.000 -4.042 0.000 7.970" Properties=species:S:1:pos:R:3 comment="Hf3ThSn2 | Alexandria via LeMat-Bulk | GGA-PBE | optimized geometry" vol_a3_per_atom=25.59 spacegroup=C2/m e_form_ev_per_atom=-0.259 final_energy_ev_per_cell=-93.7 pbc="T T T"
Hf -0.679 0.000 3.269
Hf 3.422 0.000 4.214
Hf 6.046 0.000 2.595
Hf 7.744 0.000 5.375
Hf 10.368 0.000 3.756
Hf 14.469 0.000 4.701
Th 2.228 0.000 0.445
Th 11.562 0.000 7.524
Sn 0.824 0.000 5.962
Sn 5.114 0.000 6.628
Sn 8.676 0.000 1.341
Sn 12.966 0.000 2.008

15.
4
Lattice="4.097 0.000 0.000 0.000 4.097 0.000 0.000 0.000 6.806" Properties=species:S:1:pos:R:3 comment="HfTh2Sn | Alexandria via LeMat-Bulk | GGA-PBE | optimized geometry" vol_a3_per_atom=28.56 spacegroup=P4/mmm de_polymorph_ev_per_atom=0.1216 e_form_ev_per_atom=-0.103 final_energy_ev_per_cell=-29.2 pbc="T T T"
Hf 0.000 0.000 0.000
Th 2.049 2.049 1.776
Th 2.049 2.049 5.030
Sn 0.000 0.000 3.403

16.
4
Lattice="4.727 0.000 0.000 0.000 4.727 0.000 0.000 0.000 4.862" Properties=species:S:1:pos:R:3 comment="HfTh2Sn | Alexandria via LeMat-Bulk | GGA-PBE | optimized geometry" vol_a3_per_atom=27.16 spacegroup=P4/mmm de_polymorph_ev_per_atom=0.0000 e_form_ev_per_atom=-0.225 final_energy_ev_per_cell=-29.7 pbc="T T T"
Hf 0.000 0.000 0.000
Th 0.000 2.363 2.431
Th 2.363 0.000 2.431
Sn 2.363 2.363 0.000

17.
7
Lattice="2.727 1.575 8.648 -2.727 1.575 8.648 0.000 -3.149 8.648" Properties=species:S:1:pos:R:3 comment="HfTh4Sn2 | Alexandria via LeMat-Bulk | GGA-PBE | optimized geometry" vol_a3_per_atom=31.83 spacegroup=R-3m e_form_ev_per_atom=-0.044 final_energy_ev_per_cell=-47.9 pbc="T T T"
Hf 0.000 0.000 0.000
Th 0.000 0.000 6.173
Th 0.000 0.000 9.716
Th 0.000 0.000 16.228
Th 0.000 0.000 19.771
Sn 0.000 0.000 2.950
Sn 0.000 0.000 22.994

18.
16
Lattice="9.081 0.000 0.000 -4.541 7.865 0.000 0.000 0.000 6.047" Properties=species:S:1:pos:R:3 comment="Hf2Th3Sn3 | Alexandria via LeMat-Bulk | GGA-PBE | optimized geometry" vol_a3_per_atom=26.99 spacegroup=P6_3/mcm e_form_ev_per_atom=-0.447 final_energy_ev_per_cell=-115.5 pbc="T T T"
Hf 0.000 5.243 0.000
Hf 0.000 5.243 3.024
Hf 4.541 2.622 0.000
Hf 4.541 2.622 3.024
Th -1.111 1.924 1.512
Th -3.430 5.941 4.535
Th 2.221 0.000 1.512
Th 1.111 1.924 4.535
Th 6.860 0.000 4.535
Th 3.430 5.941 1.512
Sn -1.838 3.184 4.535
Sn -2.702 4.681 1.512
Sn 3.676 0.000 4.535
Sn 1.838 3.184 1.512
Sn 5.405 0.000 1.512
Sn 2.702 4.681 4.535

19.
4
Lattice="1.688 0.975 12.026 -1.688 0.975 12.026 0.000 -1.949 12.026" Properties=species:S:1:pos:R:3 comment="HfTh2Sn | Alexandria via LeMat-Bulk | GGA-PBE | optimized geometry" vol_a3_per_atom=29.68 spacegroup=R-3m de_polymorph_ev_per_atom=0.4480 e_form_ev_per_atom=0.223 final_energy_ev_per_cell=-27.9 pbc="T T T"
Hf 0.000 0.000 0.000
Th 0.000 0.000 14.765
Th 0.000 0.000 21.314
Sn 0.000 0.000 18.039

20.
6
Lattice="4.657 0.000 0.000 -2.328 4.033 0.000 0.000 0.000 5.865" Properties=species:S:1:pos:R:3 comment="HfTi4Sn | Alexandria via LeMat-Bulk | GGA-PBE | optimized geometry" vol_a3_per_atom=18.36 spacegroup=P6/mmm de_polymorph_ev_per_atom=0.0000 e_form_ev_per_atom=-0.137 final_energy_ev_per_cell=-46.4 pbc="T T T"
Hf 0.000 0.000 0.000
Ti 0.000 2.689 1.452
Ti 0.000 2.689 4.413
Ti 2.328 1.344 1.452
Ti 2.328 1.344 4.413
Sn 0.000 0.000 2.932

21.
4
Lattice="1.595 0.921 9.741 -1.595 0.921 9.741 0.000 -1.842 9.741" Properties=species:S:1:pos:R:3 comment="Hf2TiSn | Alexandria via LeMat-Bulk | GGA-PBE | optimized geometry" vol_a3_per_atom=21.48 spacegroup=R-3m e_form_ev_per_atom=-0.057 final_energy_ev_per_cell=-32.0 pbc="T T T"
Hf 0.000 0.000 7.210
Hf 0.000 0.000 22.014
Ti 0.000 0.000 14.612
Sn 0.000 0.000 0.000

22.
8
Lattice="5.313 0.000 0.000 0.000 3.157 0.000 -2.389 0.000 10.019" Properties=species:S:1:pos:R:3 comment="Hf2TiSn | Alexandria via LeMat-Bulk | GGA-PBE | optimized geometry" vol_a3_per_atom=21.00 spacegroup=P2/m e_form_ev_per_atom=-0.160 final_energy_ev_per_cell=-64.9 pbc="T T T"
Hf -0.219 0.000 3.859
Hf 1.491 0.000 1.210
Hf 1.433 0.000 8.809
Hf 3.143 0.000 6.160
Ti 0.620 1.578 6.190
Ti 2.304 1.578 3.829
Sn -1.166 1.578 8.583
Sn 4.090 1.578 1.436

23.
7
Lattice="6.694 -1.556 0.000 6.694 1.556 0.000 -2.856 0.000 6.993" Properties=species:S:1:pos:R:3 comment="Hf3Ti2Sn2 | Alexandria via LeMat-Bulk | GGA-PBE | optimized geometry" vol_a3_per_atom=20.81 spacegroup=C2/m de_polymorph_ev_per_atom=0.0000 e_form_ev_per_atom=-0.160 final_energy_ev_per_cell=-54.8 pbc="T T T"
Hf 0.000 0.000 0.000
Hf 1.342 0.000 5.891
Hf 9.190 0.000 1.102
Ti 0.761 0.000 3.033
Ti 9.770 0.000 3.960
Sn 4.965 0.000 1.963
Sn 5.567 0.000 5.030

24.
8
Lattice="-3.938 3.938 2.868 3.938 -3.938 2.868 3.938 3.938 -2.868" Properties=species:S:1:pos:R:3 comment="Hf2TiSn | Alexandria via LeMat-Bulk | GGA-PBE | optimized geometry" vol_a3_per_atom=22.24 spacegroup=I-42d e_form_ev_per_atom=0.346 final_energy_ev_per_cell=-60.8 pbc="T T T"
Hf 5.907 1.951 -0.717
Hf 1.951 1.969 0.717
Hf -1.969 1.987 2.151
Hf 1.987 1.969 3.585
Ti 0.000 0.000 0.000
Ti 0.000 3.938 1.434
Sn 3.938 0.000 1.434
Sn 0.000 0.000 2.868

25.
10
Lattice="7.367 0.000 0.000 0.000 7.367 0.000 0.000 0.000 3.973" Properties=species:S:1:pos:R:3 comment="Hf2TiSn2 | Alexandria via LeMat-Bulk | GGA-PBE | optimized geometry" vol_a3_per_atom=21.56 spacegroup=P4/mbm de_polymorph_ev_per_atom=0.0083 e_form_ev_per_atom=-0.265 final_energy_ev_per_cell=-74.3 pbc="T T T"
Hf 1.215 2.468 0.000
Hf 2.468 6.151 0.000
Hf 4.899 1.215 0.000
Hf 6.151 4.899 0.000
Ti 0.000 0.000 1.986
Ti 3.683 3.683 1.986
Sn 1.028 4.712 1.986
Sn 2.655 1.028 1.986
Sn 4.712 6.338 1.986
Sn 6.338 2.655 1.986

| no. | M_tot (μB/f.u.) |
| --- | --- |
| 1 | 0.00 |
| 2 | 0.00 |
| 3 | 0.00 |
| 4 | 0.19 |
| 5 | 0.00 |
| 6 | 0.00 |
| 7 | 0.00 |
| 8 | 0.00 |
| 9 | 0.00 |
| 10 | 0.00 |
| 11 | 0.00 |
| 12 | 0.00 |
| 13 | 4.37 |
| 14 | 0.00 |
| 15 | 0.29 |
| 16 | 0.00 |
| 17 | 0.00 |
| 18 | 0.00 |
| 19 | 0.00 |
| 20 | 0.00 |
| 21 | 0.00 |
| 22 | 0.00 |
| 23 | 0.00 |
| 24 | 0.00 |
| 25 | 0.00 |